Ac2Pm3TmSe6: optimized geometry, PBE-GGA.

Properties
- Energy relative to the elements, uncorrected: -21.51 eV/f.u.

POSCAR file:
```
Ac2Pm3TmSe6
1.0
3.694 -6.410 0.000
3.694 6.410 0.000
-2.485 0.000 6.928
Ac Pm Tm Se
2 3 1 6
direct
0.165 0.835 0.000
0.835 0.165 0.000
0.000 0.000 0.500
0.324 0.676 0.500
0.676 0.324 0.500
0.500 0.500 0.000
0.103 0.417 0.748
0.275 0.275 0.261
0.417 0.103 0.748
0.583 0.897 0.252
0.725 0.725 0.739
0.897 0.583 0.252
```

=====

ZnCrSN2: optimized geometry, PBE-GGA.

Properties
- Energy relative to the elements, uncorrected: 6.72 eV/f.u.

POSCAR file:
```
ZnCrSN2
1.0
3.810 0.000 0.000
0.000 3.810 0.000
0.000 0.000 5.086
Zn Cr S N
1 1 1 2
direct
0.000 0.000 0.000
0.500 0.500 0.500
0.000 0.000 0.500
0.000 0.500 0.000
0.500 0.000 0.000
```

=====

ZnIrOs2: optimized geometry, PBE-GGA.

Properties
- Formation enthalpy at 0 K: 5.91 kcal/mol of atoms

POSCAR file:
```
ZnIrOs2
1.0
2.745 0.000 0.000
0.000 3.936 0.000
-0.019 0.000 5.293
Zn Ir Os
1 1 2
direct
0.000 0.000 0.000
0.000 0.000 0.500
0.500 0.500 0.246
0.500 0.500 0.754
```

=====

InSi2Sb: optimized geometry, PBE-GGA.

Properties
- Energy relative to the elements, uncorrected: 2.09 eV/f.u.

POSCAR file:
```
InSi2Sb
1.0
2.129 -2.619 0.000
2.129 2.619 0.000
0.000 0.000 7.776
In Si Sb
1 2 1
direct
0.000 0.000 0.000
0.500 0.500 0.252
0.500 0.500 0.748
0.000 0.000 0.500
```

=====

Ba3TaGa2O8: optimized geometry, PBE-GGA.

Properties
- Energy relative to the elements, uncorrected: -33.36 eV/f.u.

POSCAR file:
```
Ba3TaGa2O8
1.0
5.830 0.000 0.000
-2.915 5.049 0.000
0.000 0.000 7.559
Ba Ta Ga O
3 1 2 8
direct
0.000 0.000 0.000
0.333 0.667 0.665
0.667 0.333 0.335
0.000 0.000 0.500
0.333 0.667 0.226
0.667 0.333 0.774
0.163 0.326 0.334
0.163 0.837 0.334
0.326 0.163 0.666
0.333 0.667 0.991
0.667 0.333 0.009
0.674 0.837 0.334
0.837 0.163 0.666
0.837 0.674 0.666
```

=====

BaSe3O: optimized geometry, PBE-GGA.

Properties
- Energy relative to the elements, uncorrected: -2.65 eV/f.u.

POSCAR file:
```
BaSe3O
1.0
4.801 0.000 0.000
0.000 4.801 0.000
0.000 0.000 4.801
Ba Se O
1 3 1
direct
0.000 0.000 0.000
0.000 0.500 0.500
0.500 0.000 0.500
0.500 0.500 0.000
0.500 0.500 0.500
```

=====

Ho3Ag2Pd: optimized geometry, PBE-GGA.

Properties
- Formation enthalpy at 0 K: -11.87 kcal/mol of atoms

POSCAR file:
```
Ho3Ag2Pd
1.0
5.053 0.000 0.000
-2.526 4.376 0.000
0.000 0.000 6.202
Ho Ag Pd
3 2 1
direct
0.000 0.000 0.000
0.333 0.667 0.654
0.667 0.333 0.346
0.333 0.667 0.155
0.667 0.333 0.845
0.000 0.000 0.500
```

=====

Tb2DyEr6Sc: optimized geometry, PBE-GGA.

Properties
- Formation enthalpy at 0 K: 2.89 kcal/mol of atoms

POSCAR file:
```
Tb2DyEr6Sc
1.0
4.471 -7.358 0.000
4.471 7.358 0.000
-1.297 0.000 9.311
Tb Dy Er Sc
4 2 12 2
direct
0.197 0.300 0.453
0.300 0.197 0.953
0.700 0.803 0.047
0.803 0.700 0.547
0.479 0.521 0.750
0.521 0.479 0.250
0.005 0.793 0.883
0.068 0.510 0.689
0.207 0.995 0.617
0.250 0.627 0.057
0.373 0.750 0.443
0.490 0.932 0.811
0.510 0.068 0.189
0.627 0.250 0.557
0.750 0.373 0.943
0.793 0.005 0.383
0.932 0.490 0.311
0.995 0.207 0.117
0.088 0.912 0.250
0.912 0.088 0.750
```

=====

Table of E_tot (Ha/atom), in record order: -0.212; -0.183; -0.290; -0.143; -0.254; -0.147; -0.170; -0.170